# Pm3Ho6Er

A relaxed structure of Pm3Ho6Er (PBE, Alexandria via LeMat-Bulk).

Structure (POSCAR):
```
Pm3Ho6Er
1.0
-4.611 6.007 5.607
-9.289 0.485 -1.399
8.701 -9.163 -2.261
Pm Ho Er
3 6 1
Cartesian
-3.008 0.146 1.914 Pm
-2.192 -2.818 0.034 Pm
0.000 0.000 0.000 Pm
-6.145 0.315 0.258 Ho
-1.397 -5.730 -1.799 Ho
0.944 -2.986 1.690 Ho
-3.803 3.059 3.746 Ho
-5.346 -2.641 -1.611 Ho
0.146 -0.031 3.558 Ho
-6.950 3.246 2.104 Er
```

Summary:
total moment = 0.00 μB/cell
electronic total energy = -4.61 eV per atom
E_form = 0.02 eV/atom
SG = No. 2
relative energy among the computed polymorphs = 0.000 eV per atom


# Lu2ThC

A relaxed structure of Lu2ThC (PBE, Alexandria via LeMat-Bulk).

Structure (POSCAR):
```
Lu2ThC
1.0
-1.735 1.302 2.741
-0.823 -2.072 2.692
6.980 1.804 5.790
C Lu Th
1 2 1
Cartesian
0.000 0.000 0.000 C
4.134 0.991 8.832 Lu
0.288 0.044 2.390 Lu
2.211 0.517 5.611 Th
```

Summary:
total moment = 0.00 μB/cell
electronic total energy = -6.64 eV per atom
E_form = -0.22 eV/atom
SG = No. 166


# Ba7Li2Tl2

A relaxed structure of Ba7Li2Tl2 (PBE, Alexandria via LeMat-Bulk).

Structure (POSCAR):
```
Ba7Li2Tl2
1.0
7.851 -0.003 -1.249
0.005 9.113 0.004
-1.736 -0.002 7.758
Ba Li Tl
7 2 2
Cartesian
6.985 2.624 2.631 Ba
2.193 6.480 7.136 Ba
-0.864 6.483 3.882 Ba
3.927 2.627 -0.623 Ba
0.000 0.000 0.000 Ba
3.061 6.545 3.257 Ba
3.059 2.562 3.256 Ba
4.895 9.110 1.536 Li
1.225 -0.003 4.977 Li
5.093 4.552 5.420 Tl
1.027 4.556 1.093 Tl
```

Summary:
total moment = 0.00 μB/cell
electronic total energy = -1.99 eV per atom
E_form = 0.01 eV/atom
SG = No. 65


# Si2TePb2

A relaxed structure of Si2TePb2 (PBE, Alexandria via LeMat-Bulk).

Structure (POSCAR):
```
Si2TePb2
1.0
3.708 0.000 0.000
0.000 3.708 0.000
1.854 1.854 9.416
Pb Si Te
2 2 1
Cartesian
1.854 1.854 2.151 Pb
3.708 3.708 7.265 Pb
3.708 1.854 4.708 Si
1.854 3.708 4.708 Si
0.000 0.000 0.000 Te
```

Summary:
ΔE_f (raw) = 0.20 eV/atom
total moment = 0.00 μB/cell
electronic total energy = -4.08 eV per atom
SG = No. 139
relative energy among the computed polymorphs = 0.000 eV per atom